# Dy3Er2Ag2

A relaxed structure of Dy3Er2Ag2 (GGA-PBE, Alexandria via LeMat-Bulk).

Results
E above lowest polymorph, kcal/mol of atoms: 1.32
Energy of formation from the pure elements, eV per atom: -0.108

Unit cell a=5.3143 b=5.3150 c=8.2616 alpha=108.72 beta=90.00 gamma=120.00
With the nearest neighbours (Å) after each atom.
Fractional positions:
Dy  0.5000  0.0000  0.0000  6 Ag 3.24
Ag  0.7880  0.5761  0.8644  4 Dy 2.92-3.24, 4 Er 3.14-3.25
Er  0.9247  0.8495  0.2740  4 Ag 3.14-3.25, 3 Dy 3.46, 1 Er 3.47
Er  0.0753  0.1505  0.7260  4 Ag 3.14-3.25, 3 Dy 3.46, 1 Er 3.47
Dy  0.6611  0.3222  0.4834  1 Ag 2.92, 3 Dy 3.08
Dy  0.3389  0.6778  0.5166  1 Ag 2.92, 3 Dy 3.08
Ag  0.2120  0.4239  0.1356  4 Dy 2.92-3.24, 4 Er 3.14-3.25